# GGA-PBE CrGaPt, relaxed
# **Space group**: P1
# **Calculated volume**: 88.2 Å³/cell
data_CrGaPt
_chemical_formula_sum 'Cr2 Ga2 Pt2'
_space_group_name_H-M_alt 'P 1'
_space_group_IT_number 1
_cell_length_a 4.503
_cell_length_b 4.876
_cell_length_c 4.902
_cell_angle_alpha 60.08
_cell_angle_beta 80.77
_cell_angle_gamma 71.08
loop_
_space_group_symop_operation_xyz
'x,y,z'
loop_
_atom_site_label
_atom_site_type_symbol
_atom_site_fract_x
_atom_site_fract_y
_atom_site_fract_z
Cr1 Cr 0.767 0.640 0.995
Cr2 Cr 0.267 0.780 0.716
Ga1 Ga 0.767 0.958 0.361
Ga2 Ga 0.767 0.288 0.700
Pt1 Pt 0.267 0.113 0.049
Pt2 Pt 0.267 0.450 0.375


# GGA-PBE CrGa2Pt9, relaxed
# **Space group**: P4/mmm
# **Calculated volume**: 182.9 Å³/cell
data_CrGa2Pt9
_chemical_formula_sum 'Cr1 Ga2 Pt9'
_space_group_name_H-M_alt 'P 1'
_space_group_IT_number 1
_cell_length_a 3.936
_cell_length_b 3.936
_cell_length_c 11.808
_cell_angle_alpha 90.00
_cell_angle_beta 90.00
_cell_angle_gamma 90.00
loop_
_space_group_symop_operation_xyz
'x,y,z'
loop_
_atom_site_label
_atom_site_type_symbol
_atom_site_fract_x
_atom_site_fract_y
_atom_site_fract_z
Cr1 Cr 0.000 0.000 0.000
Ga1 Ga 0.000 0.000 0.334
Ga2 Ga 0.000 0.000 0.666
Pt1 Pt 0.500 0.500 0.000
Pt2 Pt 0.500 0.500 0.332
Pt3 Pt 0.500 0.500 0.668
Pt4 Pt 0.500 0.000 0.164
Pt5 Pt 0.500 0.000 0.500
Pt6 Pt 0.500 0.000 0.836
Pt7 Pt 0.000 0.500 0.164
Pt8 Pt 0.000 0.500 0.500
Pt9 Pt 0.000 0.500 0.836


no.,energy relative to the elements (eV per atom)
1,-0.285
2,-0.386